No. 1
The following is a PBE-GGA calculation of an optimized crystal structure of AcErHg, from Alexandria via LeMat-Bulk.

POSCAR file:
```
AcErHg
1.0
-1.918 1.918 6.543
1.918 -1.918 6.543
1.918 1.918 -6.543
Ac Er Hg
1 1 1
direct
0.000 0.000 0.000
0.298 0.298 0.000
0.680 0.680 0.000
```

Results
The energy above the most stable polymorph in this dataset comes out at 48.3 meV per atom. The value obtained for the density of states at the Fermi level is 3.989 states/eV/cell. As for the formation energy: -0.280 eV/atom. The value obtained for the volume is 32.10 A^3/atom.

***

No. 2
The following is a PBE-GGA calculation of an optimized crystal structure of AcHgBr, from Alexandria via LeMat-Bulk.

POSCAR file:
```
AcHgBr
1.0
4.169 -2.411 0.000
4.169 2.411 0.000
-0.392 0.000 11.249
Ac Hg Br
2 2 2
direct
0.009 0.009 0.191
0.991 0.991 0.809
0.335 0.335 0.027
0.665 0.665 0.973
0.317 0.317 0.654
0.683 0.683 0.346
```

Results
The calculation puts the raw formation energy at -1066 meV per atom. The value obtained for the density of states at the Fermi level is 5.676 states/eV/cell. The value obtained for the volume is 37.70 A^3/atom.

***

No. 3
The following is a PBE-GGA calculation of an optimized crystal structure of Pa2SiAu, from Alexandria via LeMat-Bulk.

POSCAR file:
```
Pa2SiAu
1.0
1.549 0.895 10.797
-1.549 0.895 10.797
0.000 -1.789 10.797
Pa Si Au
2 1 1
direct
0.094 0.094 0.094
0.906 0.906 0.906
0.500 0.500 0.500
0.000 0.000 0.000
```

Results
The energy above the most stable polymorph in this dataset comes out at 486.7 meV per atom. The calculation puts the raw formation energy at 162 meV per atom. The value obtained for the density of states at the Fermi level is 7.389 states/eV/cell. The value obtained for the volume is 22.45 A^3/atom.

***

No. 4
The following is a PBE-GGA calculation of an optimized crystal structure of PuAs2Pt, from Alexandria via LeMat-Bulk.

POSCAR file:
```
PuAs2Pt
1.0
1.766 1.019 8.931
-1.766 1.019 8.931
0.000 -2.039 8.931
Pu As Pt
1 2 1
direct
0.000 0.000 0.000
0.110 0.110 0.110
0.890 0.890 0.890
0.500 0.500 0.500
```

Results
The value obtained for the density of states at the Fermi level is 7.754 states/eV/cell. As for the formation energy: -0.057 eV/atom. The value obtained for the volume is 24.12 A^3/atom.

***

No. 5
The following is a PBE-GGA calculation of an optimized crystal structure of MgReHg2, from Alexandria via LeMat-Bulk.

POSCAR file:
```
MgReHg2
1.0
-2.185 2.185 3.951
2.185 -2.185 3.951
2.185 2.185 -3.951
Mg Re Hg
1 1 2
direct
0.000 0.000 0.000
0.500 0.500 0.000
0.250 0.750 0.500
0.750 0.250 0.500
```

Results
The value obtained for the density of states at the Fermi level is 3.416 states/eV/cell. As for the formation energy: 0.646 eV/atom. The value obtained for the volume is 18.86 A^3/atom.

***

No. 6
The following is a PBE-GGA calculation of an optimized crystal structure of Li2GaNiBr, from Alexandria via LeMat-Bulk.

POSCAR file:
```
Li2GaNiBr
1.0
4.834 0.000 0.000
0.000 4.834 0.000
0.000 0.000 4.534
Li Ga Ni Br
2 1 1 1
direct
0.000 0.500 0.000
0.500 0.000 0.000
0.000 0.000 0.500
0.000 0.000 0.000
0.500 0.500 0.500
```

Results
The calculation puts the raw formation energy at -210 meV per atom. The value obtained for the density of states at the Fermi level is 0.898 states/eV/cell. The value obtained for the volume is 21.19 A^3/atom.

***

No. 7
The following is a PBE-GGA calculation of an optimized crystal structure of ScAgHgAu, from Alexandria via LeMat-Bulk.

POSCAR file:
```
ScAgHgAu
1.0
-2.260 2.260 3.822
2.260 -2.260 3.822
2.260 2.260 -3.822
Sc Ag Hg Au
1 1 1 1
direct
0.000 0.000 0.000
0.500 0.500 0.000
0.250 0.750 0.500
0.750 0.250 0.500
```

Results
The energy above the most stable polymorph in this dataset comes out at 0.0 meV per atom. The value obtained for the density of states at the Fermi level is 2.710 states/eV/cell. As for the formation energy: -0.378 eV/atom. The value obtained for the volume is 19.53 A^3/atom.

***

No. 8
The following is a PBE-GGA calculation of an optimized crystal structure of TiNbOsRh, from Alexandria via LeMat-Bulk.

POSCAR file:
```
TiNbOsRh
1.0
0.000 3.155 3.155
3.155 0.000 3.155
3.155 3.155 0.000
Ti Nb Os Rh
1 1 1 1
direct
0.000 0.000 0.000
0.500 0.500 0.500
0.750 0.750 0.750
0.250 0.250 0.250
```

Results
The value obtained for the density of states at the Fermi level is 4.242 states/eV/cell. As for the formation energy: -0.434 eV/atom. The value obtained for the volume is 15.71 A^3/atom.

***

No. 9
The following is a PBE-GGA calculation of an optimized crystal structure of Rb3I, from Alexandria via LeMat-Bulk.

POSCAR file:
```
Rb3I
1.0
-2.383 7.264 4.310
2.383 -7.264 4.310
2.383 7.264 -4.310
Rb I
3 1
direct
0.000 0.000 0.000
0.321 0.495 0.826
0.669 0.495 0.174
0.332 0.832 0.500
```

Results
The energy above the most stable polymorph in this dataset comes out at 12.5 meV per atom. The calculation puts the raw formation energy at -657 meV per atom. The value obtained for the density of states at the Fermi level is 2.259 states/eV/cell. The value obtained for the volume is 74.60 A^3/atom.

***

No. 10
The following is a PBE-GGA calculation of an optimized crystal structure of Hg2PS, from Alexandria via LeMat-Bulk.

POSCAR file:
```
Hg2PS
1.0
0.000 3.453 3.453
3.453 0.000 3.453
3.453 3.453 0.000
Hg P S
2 1 1
direct
0.250 0.250 0.250
0.750 0.750 0.750
0.000 0.000 0.000
0.500 0.500 0.500
```

Results
The calculation puts the raw formation energy at 715 meV per atom. The value obtained for the density of states at the Fermi level is 4.946 states/eV/cell. The value obtained for the volume is 20.59 A^3/atom.

***

No. 11
The following is a PBE-GGA calculation of an optimized crystal structure of Ho5As4N, from Alexandria via LeMat-Bulk.

POSCAR file:
```
Ho5As4N
1.0
-4.429 4.429 2.884
4.429 -4.429 2.884
4.429 4.429 -2.884
Ho As N
5 4 1
direct
0.000 0.000 0.000
0.284 0.652 0.819
0.465 0.284 0.632
0.652 0.833 0.368
0.833 0.465 0.181
0.155 0.364 0.395
0.364 0.969 0.209
0.760 0.155 0.791
0.969 0.760 0.605
0.609 0.609 0.000
```

Results
The calculation puts the raw formation energy at -1439 meV per atom. The value obtained for the density of states at the Fermi level is 0.566 states/eV/cell. The value obtained for the volume is 22.64 A^3/atom.

***

No. 12
The following is a PBE-GGA calculation of an optimized crystal structure of AuSe3, from Alexandria via LeMat-Bulk.

POSCAR file:
```
AuSe3
1.0
3.623 0.000 0.000
0.000 3.624 0.000
0.000 0.000 8.685
Au Se
1 3
direct
0.000 0.000 0.000
0.000 0.500 0.489
0.500 0.000 0.571
0.500 0.500 0.058
```

Results
The calculation puts the raw formation energy at 191 meV per atom. The value obtained for the density of states at the Fermi level is 3.093 states/eV/cell. The value obtained for the volume is 28.51 A^3/atom.